No. 1
DFT (PBE-GGA) results for crystalline CaTbPd6 at its relaxed geometry.

Computed properties:
The relative energy among the computed polymorphs is 0.00 eV/f.u. As for the magnetization: 0.000 Bohr magnetons per cell. The total energy is -5.381 eV per atom. Its formation energy is -657.6 meV per atom.

a = 5.9062 Å, b = 5.9062 Å, c = 4.7043 Å
α = 90.00°, β = 90.00°, γ = 120.00°
Space group P-6m2 (No. 187)
Symmetry-distinct sites (fractional):
Ca (0.0000, 0.0000, 0.0000) (multiplicity 1)
Tb (0.3333, 0.6667, 0.5000) (multiplicity 1)
Pd (0.3448, 0.1724, 0.5000) (multiplicity 3)
Pd (0.5049, 0.0098, 0.0000) (multiplicity 3)

No. 2
DFT (PBE-GGA) results for crystalline LaZrTc4 at its relaxed geometry.

Computed properties:
As for the magnetization: 0.001 Bohr magnetons per cell. The total energy is -9.137 eV per atom. Its formation energy is 19.5 meV per atom.

a = 7.6526 Å, b = 7.6526 Å, c = 7.6526 Å
α = 90.00°, β = 90.00°, γ = 90.00°
Space group F-43m (No. 216)
Symmetry-distinct sites (fractional):
La (0.0000, 0.0000, 0.0000) (multiplicity 4)
Zr (0.2500, 0.2500, 0.2500) (multiplicity 4)
Tc (0.1245, 0.1245, 0.6245) (multiplicity 16)

No. 3
DFT (PBE-GGA) results for crystalline ErZnPd at its relaxed geometry.

Computed properties:
As for the magnetization: 0.000 Bohr magnetons per cell. The total energy is -4.387 eV per atom. Its formation energy is -710.2 meV per atom.

a = 9.9703 Å, b = 4.4105 Å, c = 6.7456 Å
α = 90.00°, β = 128.18°, γ = 90.00°
Space group C2/m (No. 12)
Symmetry-distinct sites (fractional):
Er (0.0508, 0.0000, 0.3045) (multiplicity 4)
Zn (0.1641, 0.5000, 0.1003) (multiplicity 4)
Pd (0.1687, 0.5000, 0.7059) (multiplicity 4)

No. 4
DFT (PBE-GGA) results for crystalline BaCuBr2 at its relaxed geometry.

Computed properties:
The relative energy among the computed polymorphs is 1.20 eV/f.u. As for the magnetization: 3.668 Bohr magnetons per cell. The total energy is -3.044 eV per atom.

a = 7.8160 Å, b = 7.8160 Å, c = 7.8160 Å
α = 90.00°, β = 90.00°, γ = 90.00°
Space group F-43m (No. 216)
Symmetry-distinct sites (fractional):
Ba (0.0000, 0.0000, 0.0000) (multiplicity 4)
Cu (0.2500, 0.2500, 0.7500) (multiplicity 4)
Br (0.0000, 0.0000, 0.5000) (multiplicity 4)
Br (0.2500, 0.2500, 0.2500) (multiplicity 4)

No. 5
DFT (PBE-GGA) results for crystalline BaMg4W at its relaxed geometry.

Computed properties:
As for the magnetization: 13.870 Bohr magnetons per cell. The total energy is -2.918 eV per atom. Its formation energy is 624.1 meV per atom.

a = 8.4480 Å, b = 8.4480 Å, c = 8.4480 Å
α = 90.00°, β = 90.00°, γ = 90.00°
Space group F-43m (No. 216)
Symmetry-distinct sites (fractional):
Ba (0.0000, 0.0000, 0.0000) (multiplicity 4)
Mg (0.1232, 0.1232, 0.6232) (multiplicity 16)
W (0.2500, 0.2500, 0.2500) (multiplicity 4)

No. 6
DFT (PBE-GGA) results for crystalline Ba6Rh3I at its relaxed geometry.

Computed properties:
As for the magnetization: 0.000 Bohr magnetons per cell. The total energy is -3.897 eV per atom.

a = 13.2624 Å, b = 4.6468 Å, c = 13.4693 Å
α = 90.00°, β = 108.30°, γ = 90.00°
Space group P2_1/m (No. 11)
Symmetry-distinct sites (fractional):
Ba (0.0407, 0.2500, 0.3892) (multiplicity 2)
Ba (0.0908, 0.2500, 0.9334) (multiplicity 2)
Ba (0.2206, 0.7500, 0.2539) (multiplicity 2)
Ba (0.2635, 0.2500, 0.6893) (multiplicity 2)
Ba (0.3997, 0.7500, 0.5306) (multiplicity 2)
Ba (0.4396, 0.2500, 0.1592) (multiplicity 2)
Rh (0.0836, 0.2500, 0.1558) (multiplicity 2)
Rh (0.1715, 0.7500, 0.5267) (multiplicity 2)
Rh (0.4881, 0.7500, 0.3156) (multiplicity 2)
I (0.3263, 0.7500, 0.9299) (multiplicity 2)